Density functional theory data (SCAN) for AlZn3Te at its PBEsol-relaxed geometry.

Calculated values
For the calculated total energy, the calculation gives -83.295 eV/cell. The value obtained for the total moment is 0.0000 μB/atom. As for the space group: No. 221. The value obtained for the raw formation energy is 451 meV per atom. The calculation puts the density of states at the Fermi level at 3.37 states/eV per cell.

a = 4.8277 Å, b = 4.8277 Å, c = 4.8277 Å
α = 90.00°, β = 90.00°, γ = 90.00°
Closest atoms and distances in Å follow each position.
Fractional positions:
Al: 0.0000 0.0000 0.0000  6 Zn 2.41
Te: 0.5000 0.5000 0.5000  12 Zn 3.41
Zn: 0.5000 0.0000 0.0000  2 Al 2.41
Zn: 0.0000 0.0000 0.5000  2 Al 2.41
Zn: 0.0000 0.5000 0.0000  2 Al 2.41